5
Lattice="-2.244 -2.338 3.044 3.737 -2.136 1.114 0.852 3.033 2.957" Properties=species:S:1:pos:R:3 comment="HgPOF2 PBE optimized geometry" total_energy_ev_per_cell=-14.0 pbc="T T T"
P 1.173 -0.721 3.558
Hg 0.000 0.000 0.000
O 0.426 1.516 1.479
F 1.869 -1.068 0.557
F -1.122 -1.169 1.522

=====

9
Lattice="5.366 -0.347 2.131 -5.240 2.202 1.076 -1.430 -5.497 1.093" Properties=species:S:1:pos:R:3 comment="Ni5Ru4 PBE optimized geometry" formation_enthalpy_0k_ev_per_atom=0.1241 total_energy_ev_per_cell=-64.9 pbc="T T T"
Ni 0.000 0.000 0.000
Ni -0.392 -0.594 2.502
Ni -1.702 1.352 1.428
Ni 1.829 0.503 1.779
Ni -0.912 -3.049 1.799
Ru 2.630 -3.905 2.154
Ru 1.306 -1.940 1.070
Ru -4.456 -2.202 1.450
Ru -2.213 -1.093 0.720

=====

22
Lattice="9.070 0.000 0.000 0.000 9.070 0.000 0.000 0.000 8.971" Properties=species:S:1:pos:R:3 comment="Rb4HgCl6 PBE optimized geometry" total_energy_ev_per_cell=-65.3 pbc="T T T"
Rb 3.075 1.460 2.243
Rb 1.460 5.995 6.728
Rb 5.995 7.610 6.728
Rb 7.610 3.075 6.728
Rb 3.075 1.460 6.728
Rb 1.460 5.995 2.243
Rb 7.610 3.075 2.243
Rb 5.995 7.610 2.243
Hg 4.535 4.535 0.000
Hg 0.000 0.000 4.485
Cl 2.809 8.064 4.485
Cl 7.344 5.540 0.000
Cl 5.540 1.726 0.000
Cl 1.005 2.809 4.485
Cl 0.000 0.000 2.012
Cl 4.535 4.535 2.473
Cl 3.529 7.344 0.000
Cl 0.000 0.000 6.959
Cl 1.726 3.529 0.000
Cl 4.535 4.535 6.497
Cl 8.064 6.261 4.485
Cl 6.261 1.005 4.485

=====

10
Lattice="6.601 0.000 0.000 0.000 7.506 0.000 0.000 0.003 7.783" Properties=species:S:1:pos:R:3 comment="ThBrCl3 PBE optimized geometry" total_energy_ev_per_cell=-49.0 pbc="T T T"
Th 1.150 5.068 5.454
Th 4.451 5.089 1.563
Br 2.660 2.789 5.456
Br 5.960 7.368 1.561
Cl 2.976 2.985 1.564
Cl 2.807 6.221 7.386
Cl 6.107 3.938 3.495
Cl 6.276 7.172 5.453
Cl 6.107 3.940 7.415
Cl 2.807 6.219 3.522

=====

Number 1: DOS at the Fermi energy 3.15 states/eV/f.u., total magnetic moment 1.432 μB/f.u.. Number 2: DOS at the Fermi energy 14.55 states/eV/f.u., total magnetic moment 0.024 μB/f.u.. Number 3: DOS at the Fermi energy 0.00 states/eV/f.u., total magnetic moment 0.000 μB/f.u.. Number 4: DOS at the Fermi energy 0.00 states/eV/f.u., total magnetic moment 0.000 μB/f.u..